## PmGeMo (PBE)

Data for PmGeMo after structural relaxation.

Cell and atoms, written as extended XYZ:
```
3
Lattice="0.196 -4.457 -1.953 -3.827 -1.757 -2.447 0.238 -0.532 -4.835" Properties=species:S:1:pos:R:3 pbc="T T T"
Ge -2.545 -5.060 -6.927
Mo -0.848 -1.687 -2.309
Pm -1.696 -3.373 -4.618
```

Excess energy over the best structure of this formula in the dataset: 900 meV per atom
Space group: F-43m

***

## YInAg2 (PBE)

Data for YInAg2 after structural relaxation.

Cell and atoms, written as extended XYZ:
```
8
Lattice="-4.063 2.555 -1.337 -0.356 -3.671 3.350 1.403 5.416 6.085" Properties=species:S:1:pos:R:3 pbc="T T T"
Ag -2.700 0.972 0.779
Ag -2.254 2.695 2.714
Ag -0.763 1.605 5.384
Ag -0.317 3.327 7.319
In -1.241 -0.242 3.309
In -1.775 4.542 4.789
Y 0.000 0.000 0.000
Y 0.701 2.708 3.042
```

E: -31.68 eV for the cell shown
Space group: P6_3/mmc

***

## Lu2Nb4Pb3N3 (PBE)

Data for Lu2Nb4Pb3N3 after structural relaxation.

Cell and atoms, written as extended XYZ:
```
24
Lattice="-4.612 -1.742 3.231 0.543 -0.415 5.855 -5.373 12.602 4.183" Properties=species:S:1:pos:R:3 pbc="T T T"
Lu -3.180 -0.184 5.210
Lu -4.445 4.105 5.526
Lu -4.998 6.340 7.744
Lu -6.263 10.630 8.060
N -2.928 -1.222 3.223
N 0.271 -0.207 2.928
N -1.142 -0.934 5.863
N -3.197 5.701 6.545
N -4.993 5.430 3.707
N -6.246 4.745 6.724
Nb -4.368 -1.121 8.217
Nb -1.738 0.305 2.064
Nb -5.937 3.603 8.646
Nb -3.104 5.082 2.597
Nb -6.339 5.364 10.673
Nb -3.506 6.843 4.623
Nb -7.705 10.140 11.205
Nb -5.075 11.567 5.053
Pb -2.121 2.569 4.209
Pb -5.671 1.483 4.422
Pb -3.605 1.841 7.493
Pb -5.838 8.604 5.777
Pb -3.772 8.963 8.847
Pb -7.322 7.876 9.060
```

E: -186.81 eV for the cell shown
Space group: C2/c

***

## TbBiN2O (PBE)

Data for TbBiN2O after structural relaxation.

Cell and atoms, written as extended XYZ:
```
20
Lattice="5.841 0.000 0.000 -2.865 5.246 0.000 -2.890 -1.628 9.435" Properties=species:S:1:pos:R:3 pbc="T T T"
Bi 0.190 0.087 0.016
Bi 0.046 3.454 2.303
Bi 2.780 1.913 4.716
Bi -0.215 0.145 6.954
N -0.576 4.886 0.783
N -0.670 1.472 1.461
N 1.422 1.867 3.020
N -1.617 3.335 3.687
N 1.333 0.363 5.518
N -1.465 1.670 6.129
N -3.851 3.392 6.282
N -1.564 0.151 8.666
O 2.201 3.995 1.455
O 3.630 -0.279 3.883
O -1.300 3.831 7.964
O 0.780 1.604 8.536
Tb 2.959 1.909 1.047
Tb -0.045 0.039 3.395
Tb -0.302 3.684 5.724
Tb -2.860 2.102 8.098
```

E: -132.81 eV for the cell shown
Space group: P1

***

| no. | total magnetization (μB/cell) |
| --- | --- |
| 1 | 3.64 |
| 2 | 0.00 |
| 3 | 0.01 |
| 4 | 0.00 |